[1]
Compound: Ac6InSn2
Source: Alexandria
Functional: PBE
Structure: relaxed

Values from the calculation:
Offset from the most stable computed form = 12.3 kJ/mol of atoms
Energy of formation from the pure elements = -0.301 eV per atom

Lattice parameters (Å, degrees): 9.7566 9.7566 5.6444 106.74 106.74 48.17
With the nearest neighbours (Å) after each atom.
Fractional coordinates of all 9 atoms:
Ac (0.0845, 0.5838, 0.3346)  1 In 3.44, 3 Sn 3.45
Ac (0.2497, 0.7503, 0.0000)  2 In 3.45, 2 Sn 3.46
Ac (0.4162, 0.9155, 0.6654)  1 In 3.44, 3 Sn 3.45
Ac (0.5838, 0.0845, 0.3346)  1 In 3.44, 3 Sn 3.45
Ac (0.7503, 0.2497, 0.0000)  2 In 3.45, 2 Sn 3.46
Ac (0.9155, 0.4162, 0.6654)  1 In 3.44, 3 Sn 3.45
In (0.0000, 0.0000, 0.5000)  8 Ac 3.44-3.45
Sn (0.3325, 0.3325, 0.8332)  8 Ac 3.45-3.46
Sn (0.6675, 0.6675, 0.1668)  8 Ac 3.45-3.46

[2]
Compound: AcIn2Sn
Source: Alexandria
Functional: PBE
Structure: relaxed

Values from the calculation:
Offset from the most stable computed form = 0.0 kJ/mol of atoms
Energy of formation from the pure elements = -0.449 eV per atom

Lattice parameters (Å, degrees): 4.8379 4.8379 5.0730 90.00 90.00 90.00
With the nearest neighbours (Å) after each atom.
Fractional coordinates of all 4 atoms:
Ac (0.0000, 0.0000, 0.0000)  4 Sn 3.42, 8 In 3.51
In (0.0000, 0.5000, 0.5000)  4 In 3.42, 4 Ac 3.51, 4 Sn 3.51
In (0.5000, 0.0000, 0.5000)  4 In 3.42, 4 Ac 3.51, 4 Sn 3.51
Sn (0.5000, 0.5000, 0.0000)  4 Ac 3.42, 8 In 3.51

[3]
Compound: AcInSn6
Source: Alexandria
Functional: PBE
Structure: relaxed

Values from the calculation:
Energy of formation from the pure elements = -0.197 eV per atom

Lattice parameters (Å, degrees): 4.8785 4.8785 9.6617 90.00 90.00 90.00
With the nearest neighbours (Å) after each atom.
Fractional coordinates of all 8 atoms:
Ac (0.0000, 0.0000, 0.0000)  12 Sn 3.45-3.52
In (0.0000, 0.0000, 0.5000)  12 Sn 3.35-3.45
Sn (0.0000, 0.5000, 0.2626)  8 Sn 3.35-3.52, 2 In 3.35, 2 Ac 3.52
Sn (0.0000, 0.5000, 0.7374)  2 In 3.35, 8 Sn 3.35-3.52, 2 Ac 3.52
Sn (0.5000, 0.0000, 0.2626)  8 Sn 3.35-3.52, 2 In 3.35, 2 Ac 3.52
Sn (0.5000, 0.0000, 0.7374)  2 In 3.35, 8 Sn 3.35-3.52, 2 Ac 3.52
Sn (0.5000, 0.5000, 0.0000)  4 Ac 3.45, 8 Sn 3.52
Sn (0.5000, 0.5000, 0.5000)  8 Sn 3.35, 4 In 3.45

[4]
Compound: Ac2In3Sn3
Source: Alexandria
Functional: PBE
Structure: relaxed

Values from the calculation:
Offset from the most stable computed form = 0.0 kJ/mol of atoms
Energy of formation from the pure elements = -0.468 eV per atom

Lattice parameters (Å, degrees): 4.8531 4.8905 10.0077 90.00 90.00 90.00
With the nearest neighbours (Å) after each atom.
Fractional coordinates of all 8 atoms:
Ac (0.0000, 0.0000, 0.2444)  6 Sn 3.45, 6 In 3.46-3.54
Ac (0.0000, 0.0000, 0.7556)  6 Sn 3.45, 6 In 3.46-3.54
In (0.0000, 0.5000, 0.0000)  8 Sn 3.44-3.49, 4 Ac 3.46
In (0.0000, 0.5000, 0.5000)  4 In 3.44, 4 Sn 3.49, 4 Ac 3.54
In (0.5000, 0.0000, 0.5000)  4 In 3.44, 4 Sn 3.50, 4 Ac 3.53
Sn (0.5000, 0.0000, 0.0000)  4 In 3.44, 4 Ac 3.45, 4 Sn 3.50
Sn (0.5000, 0.5000, 0.2500)  4 Ac 3.45, 6 In 3.49-3.50, 2 Sn 3.50
Sn (0.5000, 0.5000, 0.7500)  4 Ac 3.45, 6 In 3.49-3.50, 2 Sn 3.50